Record 1
Compound: P2Cl
Source: Alexandria via LeMat-Bulk
Functional: meta-GGA SCAN
Structure: PBEsol geometry

a = 5.4369 Å, b = 7.3700 Å, c = 4.4895 Å
α = 90.00°, β = 90.00°, γ = 90.00°
With the nearest neighbours (Å) after each atom.
Fractional coordinates of all 6 atoms:
P 0.0914 0.1157 0.0000  1 P 1.97
P 0.4086 0.6157 0.5000  1 P 1.97
P 0.5914 0.3843 0.5000  1 P 1.97
P 0.9086 0.8843 0.0000  1 P 1.97
Cl 0.0000 0.5000 0.5000  2 P 2.38
Cl 0.5000 0.0000 0.0000  2 P 2.38

## Properties
Raw formation energy: 0.422 eV/atom
Symmetry: Pnnm (58)
VASP energy: -9.170 eV per atom
Polymorph energy (0 for the lowest one): 0.00 eV/f.u.



Record 2
Compound: PCl3
Source: Alexandria via LeMat-Bulk
Functional: meta-GGA SCAN
Structure: PBEsol geometry

a = 7.3205 Å, b = 7.3205 Å, c = 7.3205 Å
α = 28.81°, β = 28.81°, γ = 28.81°
With the nearest neighbours (Å) after each atom.
Fractional coordinates of all 4 atoms:
P 0.0000 0.0000 0.0000  6 Cl 2.50
Cl 0.2688 0.2688 0.2688  3 P 2.50
Cl 0.5000 0.5000 0.5000  6 Cl 3.01
Cl 0.7312 0.7312 0.7312  3 P 2.50

## Properties
Raw formation energy: 0.217 eV/atom
Symmetry: R-3m (166)
VASP energy: -8.366 eV per atom



Record 3
Compound: PPbCl
Source: Alexandria via LeMat-Bulk
Functional: meta-GGA SCAN
Structure: PBEsol geometry

a = 4.0787 Å, b = 4.0787 Å, c = 5.2936 Å
α = 90.00°, β = 90.00°, γ = 120.00°
With the nearest neighbours (Å) after each atom.
Fractional coordinates of all 3 atoms:
P 0.0000 0.0000 0.0000  3 Pb 2.61
Pb 0.3333 0.6667 0.7861  3 P 2.61
Cl 0.6667 0.3333 0.4175  3 Pb 3.06, 3 P 3.23

## Properties
Raw formation energy: 0.005 eV/atom
Symmetry: P3m1 (156)
VASP energy: -31.381 eV per atom